(1)
The following is a PBE-GGA calculation of an optimized crystal structure of NbCu2HgPd, from Alexandria.

Lattice parameters (Å, degrees): 4.834 4.834 4.915 90.00 90.00 90.00
Space group P4/mmm (No. 123)
Asymmetric unit:
1 Nb 0.000 0.000 0.000 x1
2 Cu 0.000 0.500 0.000 x2
3 Hg 0.500 0.500 0.500 x1
4 Pd 0.000 0.000 0.500 x1

Properties
* E_form: 1.1983 eV/atom

(2)
The following is a PBE-GGA calculation of an optimized crystal structure of Sr3TcO6, from Alexandria.

Lattice parameters (Å, degrees): 5.856 6.112 10.217 90.00 124.59 90.00
Space group P2_1/c (No. 14)
Asymmetric unit:
1 Sr 0.000 0.000 0.000 x2
2 Sr 0.261 0.054 0.746 x4
3 Tc 0.500 0.000 0.500 x2
4 O 0.181 0.044 0.282 x4
5 O 0.277 0.675 0.046 x4
6 O 0.396 0.236 0.064 x4

Properties
* formation energy (no corrections): -2.32 eV/atom

(3)
The following is a PBE-GGA calculation of an optimized crystal structure of TcNi2Cl, from Alexandria.

Lattice parameters (Å, degrees): 2.944 2.930 6.649 90.00 90.23 90.00
Space group Pm (No. 6)
Asymmetric unit:
1 Tc 0.000 0.000 0.000 x1
2 Ni 0.004 0.000 0.398 x1
3 Ni 0.502 0.500 0.203 x1
4 Cl 0.996 0.500 0.702 x1

Properties
* formation energy (no corrections): 0.23 eV/atom
* offset from the most stable computed form: 0.0355 eV/atom

(4)
The following is a PBE-GGA calculation of an optimized crystal structure of SrZnRe2O8, from Alexandria.

Lattice parameters (Å, degrees): 7.634 6.357 7.251 90.00 93.74 90.00
Space group C2/m (No. 12)
Asymmetric unit:
1 Sr 0.000 0.000 0.000 x2
2 Zn 0.000 0.000 0.500 x2
3 Re 0.058 0.500 0.700 x4
4 O 0.002 0.219 0.293 x8
5 O 0.178 0.500 0.921 x4
6 O 0.184 0.500 0.493 x4

Properties
* formation energy (no corrections): -1.72 eV/atom

Values of total moment, in order: 0.000 1.013 0.000 0.000, all in μB/f.u..